No. 1
This record from Alexandria describes a relaxed Ac4LaTe7 crystal. The functional is PBE.

extended XYZ file:
```
12
Lattice="-1.1528 -3.3607 -2.8995 7.7784 -1.1730 1.8935 -7.0027 -6.3764 10.1748" Properties=species:S:1:pos:R:3 pbc="T T T"
Ac -3.3559 -7.9680 6.9430
Ac 2.9920 -2.9413 2.2195
Ac -0.3626 -10.8944 9.1447
Ac -1.3630 -3.3679 4.4455
La 0.9432 -7.5561 4.7564
Te 0.4314 -5.3106 2.3572
Te -0.7337 -5.6659 6.8587
Te -1.7875 -7.9939 9.9761
Te 1.4089 -2.9120 -0.8115
Te -4.8875 -5.1843 7.9521
Te 4.5347 -5.6869 1.1619
Te 3.6175 -6.0205 5.5398
```

Output
As for the total energy: -62.17 eV/cell. The density of states at the Fermi level comes out at 0.156 states/eV per atom. Its volume is 478.0 Å³ per cell. The value obtained for the total moment is 0.00 μB/f.u.

No. 2
This record from Alexandria describes a relaxed Pm3Co2 crystal. The functional is PBE.

extended XYZ file:
```
10
Lattice="6.8384 0.0000 0.0000 3.4192 5.9223 0.0000 3.4192 1.9741 6.2142" Properties=species:S:1:pos:R:3 pbc="T T T"
Co 10.2577 5.9223 3.3194
Co 3.4192 1.9741 0.2123
Co 3.4192 1.9741 2.8948
Co 10.2577 5.9223 6.0019
Pm 5.8054 5.9223 4.6607
Pm 9.0646 3.8557 4.6607
Pm 5.6453 2.0665 4.6607
Pm 4.6123 4.0406 1.5536
Pm 8.0316 5.8298 1.5536
Pm 7.8715 1.9741 1.5536
```

Output
As for the total energy: -57.17 eV/cell. The density of states at the Fermi level comes out at 0.562 states/eV per atom. The value obtained for the formation energy from the elements is -0.02 eV per atom. Its volume is 251.7 Å³ per cell. The value obtained for the total moment is 0.00 μB/f.u. The value obtained for the energy above the most stable polymorph in this dataset is 0.685 kcal/mol of atoms.

No. 3
This record from Alexandria describes a relaxed GdCuSn2 crystal. The functional is PBE.

extended XYZ file:
```
4
Lattice="4.4110 0.0000 0.0000 0.0000 4.5408 0.0000 0.0000 0.0000 4.5408" Properties=species:S:1:pos:R:3 pbc="T T T"
Gd 2.2055 2.2704 2.2704
Sn 0.0000 0.0000 2.2704
Sn 0.0000 2.2704 0.0000
Cu 2.2055 0.0000 0.0000
```

Output
As for the total energy: -27.63 eV/cell. The density of states at the Fermi level comes out at 0.471 states/eV per atom. The value obtained for the formation energy from the elements is -0.36 eV per atom. Its volume is 90.9 Å³ per cell. The value obtained for the total moment is 6.96 μB/f.u. The value obtained for the energy above the most stable polymorph in this dataset is 0.000 kcal/mol of atoms.

No. 4
This record from Alexandria describes a relaxed AcPuMgSn crystal. The functional is PBE.

extended XYZ file:
```
4
Lattice="5.5865 0.0000 0.0000 2.7932 4.8380 0.0000 2.7932 1.6127 4.5613" Properties=species:S:1:pos:R:3 pbc="T T T"
Mg 5.5865 3.2253 2.2807
Ac 2.7932 1.6127 1.1403
Sn 0.0000 0.0000 0.0000
Pu 8.3797 4.8380 3.4210
```

Output
As for the total energy: -24.75 eV/cell. The density of states at the Fermi level comes out at 2.821 states/eV per atom. The value obtained for the formation energy from the elements is -0.18 eV per atom. Its volume is 123.3 Å³ per cell. The value obtained for the total moment is 6.72 μB/f.u.

No. 5
This record from Alexandria describes a relaxed AcPu2Pa crystal. The functional is PBE.

extended XYZ file:
```
4
Lattice="-0.4358 -2.7918 -1.9789 3.3027 -0.8653 0.4936 -2.5150 -5.1437 7.8108" Properties=species:S:1:pos:R:3 pbc="T T T"
Ac 0.1759 -4.4004 3.1627
Pa 1.4335 -1.8286 -0.7426
Pu -1.9877 -4.0653 6.1731
Pu -0.5273 -1.0784 1.6376
```

Output
As for the total energy: -41.44 eV/cell. The density of states at the Fermi level comes out at 3.346 states/eV per atom. The value obtained for the formation energy from the elements is 0.21 eV per atom. Its volume is 115.2 Å³ per cell. The value obtained for the total moment is 11.08 μB/f.u. The value obtained for the energy above the most stable polymorph in this dataset is 0.000 kcal/mol of atoms.

No. 6
This record from Alexandria describes a relaxed CaCr2S4 crystal. The functional is PBE.

extended XYZ file:
```
14
Lattice="7.3161 0.0676 -0.8450 0.0466 7.0804 2.0271 -3.0164 -5.0833 4.3937" Properties=species:S:1:pos:R:3 pbc="T T T"
Ca 3.6813 3.5740 0.5911
Ca -1.4849 0.9985 3.2104
Cr 2.3259 2.4007 4.5369
Cr 2.0204 -0.3360 1.0390
Cr 0.0233 3.5402 1.0136
Cr -1.5082 -2.5417 2.1969
S 3.9872 -0.9544 2.1410
S -1.3945 -3.2785 4.5825
S 0.2773 -0.8832 2.3777
S 0.3592 3.0190 3.4349
S 2.6287 -3.1953 4.1844
S 5.7408 5.3432 0.9933
S 1.7176 5.2600 1.3915
S 4.0691 2.9478 3.1982
```

Output
As for the total energy: -87.75 eV/cell. The density of states at the Fermi level comes out at 0.373 states/eV per atom. Its volume is 284.7 Å³ per cell. The value obtained for the total moment is 6.00 μB/f.u. The value obtained for the energy above the most stable polymorph in this dataset is 4.321 kcal/mol of atoms.

No. 7
This record from Alexandria describes a relaxed RbTa3Tl crystal. The functional is PBE.

extended XYZ file:
```
5
Lattice="4.8636 0.0000 0.0000 0.0000 4.8636 0.0000 0.0000 0.0000 4.8636" Properties=species:S:1:pos:R:3 pbc="T T T"
Tl 2.4318 2.4318 2.4318
Rb 0.0000 0.0000 0.0000
Ta 0.0000 2.4318 0.0000
Ta 0.0000 0.0000 2.4318
Ta 2.4318 0.0000 0.0000
```

Output
As for the total energy: -23.54 eV/cell. The density of states at the Fermi level comes out at 0.946 states/eV per atom. The value obtained for the formation energy from the elements is 3.07 eV per atom. Its volume is 115.0 Å³ per cell. The value obtained for the total moment is 0.00 μB/f.u. The value obtained for the energy above the most stable polymorph in this dataset is 11.886 kcal/mol of atoms.

No. 8
This record from Alexandria describes a relaxed Ho4ScHg crystal. The functional is PBE.

extended XYZ file:
```
12
Lattice="6.1608 -0.7161 0.0000 -2.4779 8.4501 0.0000 -1.8415 -3.8670 6.9163" Properties=species:S:1:pos:R:3 pbc="T T T"
Ho -1.6086 -1.5175 5.4645
Ho 1.7770 3.0680 4.2767
Ho -1.4718 1.8756 5.4645
Ho -1.1745 5.0240 4.2767
Ho 3.0159 -1.1571 2.6396
Ho 3.3133 1.9914 1.4518
Ho 0.0645 0.7990 2.6396
Ho 3.4501 5.3845 1.4518
Sc 0.3013 4.0460 1.4374
Sc 1.5402 -0.1790 5.4789
Hg -2.7791 4.4041 6.9047
Hg 4.6206 -0.5371 0.0116
```

Output
As for the total energy: -50.13 eV/cell. The density of states at the Fermi level comes out at 1.663 states/eV per atom. The value obtained for the formation energy from the elements is -0.02 eV per atom. Its volume is 347.8 Å³ per cell. The value obtained for the total moment is 0.00 μB/f.u.

No. 9
This record from Alexandria describes a relaxed Pm3Sn5O12 crystal. The functional is PBE.

extended XYZ file:
```
80
Lattice="11.7158 0.0000 0.0000 -3.9053 11.0457 0.0000 -3.9053 -5.5229 9.5659" Properties=species:S:1:pos:R:3 pbc="T T T"
Pm 6.8342 3.4518 1.1957
Pm 6.8342 7.5940 1.1957
Pm -0.9763 4.8325 5.9787
Pm 0.9763 -0.6904 3.5872
Pm 8.7868 0.0000 2.3915
Pm 0.9763 5.5229 2.3915
Pm 2.9289 0.0000 7.1744
Pm -4.8816 5.5229 7.1744
Pm 2.9289 6.2132 5.9787
Pm 4.8816 0.6904 3.5872
Pm -2.9289 -2.0711 8.3702
Pm -2.9289 2.0711 8.3702
Sn -0.9763 2.7614 2.3915
Sn -1.9526 5.5229 0.0000
Sn 0.0000 0.0000 0.0000
Sn 2.9289 2.0711 1.1957
Sn 3.9053 -2.7614 4.7829
Sn 3.9053 5.5229 0.0000
Sn -2.9289 6.2132 3.5872
Sn 4.8816 -3.4518 8.3702
Sn 4.8816 4.8325 3.5872
Sn 0.9763 -2.7614 7.1744
Sn 2.9289 8.2843 2.3915
Sn 1.9526 2.7614 4.7829
Sn 5.8579 0.0000 0.0000
Sn -1.9526 -2.7614 4.7829
Sn -0.9763 0.6904 5.9787
Sn -0.9763 8.9747 1.1957
Sn -3.9053 2.7614 4.7829
Sn 6.8342 -0.6904 5.9787
Sn 0.9763 3.4518 8.3702
Sn 4.8816 2.7614 7.1744
O 7.5973 1.1825 0.4006
O 0.2132 3.6996 3.9592
O 8.6206 2.4804 2.8210
O 5.0478 1.5585 1.2244
O 1.4176 4.1255 6.3442
O 8.2988 5.5726 1.5613
O -0.8101 6.4447 4.0454
O -3.0952 9.4872 1.2244
O 0.5350 6.9203 6.3442
O 5.3696 5.4731 1.5613
O 6.0711 3.0057 3.5586
O 6.0711 9.8633 0.4006
O -3.3702 4.7955 5.1836
O 2.4409 4.1459 0.7375
O -4.1185 8.0400 3.5586
O 2.1658 -1.8232 5.6067
O -0.5350 0.6701 1.9619
O 2.4409 6.8501 0.8237
O 5.0478 8.5654 2.8210
O -0.4883 4.1957 0.8237
O -2.4877 6.1930 7.6040
O 2.7627 4.6010 4.0454
O 5.3229 6.2502 5.1836
O 4.3935 -1.3770 8.8284
O 1.1425 0.9218 5.5205
O -1.4176 -0.7273 4.3823
O -0.4883 6.8998 0.7375
O -1.1425 -3.0425 6.7449
O 6.3929 -0.6701 1.9619
O 4.3935 1.3272 8.7422
O 1.4644 -1.3272 8.7422
O 1.7394 7.3461 3.9592
O 4.4403 4.8528 7.6040
O 8.0237 -2.5172 6.0073
O 7.2755 0.7273 4.3823
O -2.1658 -4.3404 9.1652
O 1.4644 1.3770 8.8284
O 3.3702 -1.3974 3.2217
O -1.4644 0.0498 8.0046
O -2.1658 2.5172 6.0073
O 7.0004 -3.9643 8.3415
O 4.7154 -0.9218 5.5205
O -1.1425 3.9643 8.3415
O -4.3935 -0.0498 8.0046
O 2.4877 1.3974 3.2217
O -4.7154 3.0425 6.7449
O 3.6921 1.8232 5.6067
O -3.6921 4.3404 9.1652
```

Output
As for the total energy: -535.39 eV/cell. The density of states at the Fermi level comes out at 0.274 states/eV per atom. Its volume is 1237.9 Å³ per cell. The value obtained for the total moment is 0.00 μB/f.u.

No. 10
This record from Alexandria describes a relaxed SrMn2CrS8 crystal. The functional is PBE.

extended XYZ file:
```
12
Lattice="-1.3831 4.2866 3.7167 0.9885 -0.6606 5.7174 7.5156 4.4933 2.2021" Properties=species:S:1:pos:R:3 pbc="T T T"
Sr 3.5605 4.0597 5.8181
Mn 1.7784 2.0290 2.9093
Mn 5.3426 6.0903 8.7269
Cr 0.0000 0.0000 0.0000
S 3.6638 2.8389 2.6769
S 0.6644 3.1940 4.2642
S 3.4571 5.2805 8.9593
S 0.5500 4.3512 7.3682
S 6.5710 3.7681 4.2680
S 1.7741 1.3295 6.7701
S 5.3468 6.7898 4.8661
S 6.4565 4.9254 7.3719
```

Output
As for the total energy: -69.04 eV/cell. The density of states at the Fermi level comes out at 0.270 states/eV per atom. Its volume is 247.4 Å³ per cell. The value obtained for the total moment is 6.05 μB/f.u.

No. 11
This record from Alexandria describes a relaxed Zn2Hg crystal. The functional is PBE.

extended XYZ file:
```
6
Lattice="1.9936 6.2810 6.3257 2.2283 8.7149 1.5889 -4.6946 -6.8726 -3.7640" Properties=species:S:1:pos:R:3 pbc="T T T"
Zn 0.1394 5.7965 1.4855
Zn -0.4948 3.5438 0.2966
Zn 2.4281 8.6243 4.5517
Zn 1.7938 6.3716 3.3628
Hg 0.0000 0.0000 0.0000
Hg -0.2951 3.4532 3.2595
```

Output
As for the total energy: -4.67 eV/cell. The density of states at the Fermi level comes out at 0.276 states/eV per atom. The value obtained for the formation energy from the elements is 0.17 eV per atom. Its volume is 124.1 Å³ per cell. The value obtained for the total moment is 0.00 μB/f.u.

No. 12
This record from Alexandria describes a relaxed GePt2N2 crystal. The functional is PBE.

extended XYZ file:
```
5
Lattice="-1.5515 -4.5349 -0.5412 1.2054 -0.9579 4.5711 -2.9146 -1.9156 2.9120" Properties=species:S:1:pos:R:3 pbc="T T T"
Ge 0.0000 0.0000 0.0000
Pt -2.3195 -4.5984 2.1928
Pt -0.9411 -2.8100 4.7490
N -0.7056 -2.5850 2.1892
N -2.5551 -4.8234 4.7527
```

Output
As for the total energy: -29.37 eV/cell. The density of states at the Fermi level comes out at 0.570 states/eV per atom. Its volume is 69.8 Å³ per cell. The value obtained for the total moment is 0.00 μB/f.u. The value obtained for the energy above the most stable polymorph in this dataset is 0.000 kcal/mol of atoms.